VASP calculation (PBE) on a relaxed SrTa2Hg crystal.

The structure in CIF format:
```
data_SrTa2Hg
_cell_length_a 3.527
_cell_length_b 3.527
_cell_length_c 7.826
_cell_angle_alpha 90.00
_cell_angle_beta 90.00
_cell_angle_gamma 90.00
_symmetry_space_group_name_H-M 'P 4 m m'
_symmetry_Int_Tables_number 99
_symmetry_space_group_name_Hall 'P 4 -2'
loop_
_atom_site_label
_atom_site_type_symbol
_atom_site_fract_x
_atom_site_fract_y
_atom_site_fract_z
Sr1 Sr 0.000 0.000 0.000
Ta1 Ta 0.000 0.000 0.467
Ta2 Ta 0.500 0.500 0.318
Hg1 Hg 0.500 0.500 0.705
```

Computed properties:
Total magnetization ... 0.0 Bohr magnetons per cell
Formation energy ... 0.338 eV per atom